Model A:
{
  "formula": "Li3PdO",
  "functional": "GGA-PBE",
  "state": "optimized geometry",
  "magmom_total_mub_per_atom": 0.000,
  "sg": "Pm-3m (221)",
  "dos_ef_per_ev_atom": 0.43,
  "lattice_angstrom": [[-1.758, -0.636, -3.406], [3.458, -0.573, -1.678], [-0.227, -3.790, 0.825]],
  "species": ["O", "Pd", "Li", "Li", "Li"],
  "frac_coords": [[0.000, 0.000, 0.000], [0.500, 0.500, 0.500], [0.000, 0.500, 0.000], [0.000, 0.000, 0.500], [0.500, 0.000, 0.000]]
}



Model B:
{
  "formula": "Li3PdO",
  "functional": "GGA-PBE",
  "state": "optimized geometry",
  "magmom_total_mub_per_atom": 0.200,
  "sg": "Pm-3m (221)",
  "dos_ef_per_ev_atom": 1.05,
  "lattice_angstrom": [[-4.415, -1.426, -0.074], [1.426, -4.416, 0.002], [-0.071, -0.021, 4.640]],
  "species": ["O", "Pd", "Li", "Li", "Li"],
  "frac_coords": [[0.500, 0.500, 0.500], [0.000, 0.000, 0.000], [0.000, 0.500, 0.000], [0.000, 0.000, 0.500], [0.500, 0.000, 0.000]]
}



The energetic minimum among the shown structures is model A; the next structure lies 1.114 eV/atom above.